The following is a PBE-GGA calculation of an optimized crystal structure of InRePt2, from Alexandria.

Calculated values
Theoretical density (g/cm3): 17.3
Total magnetic moment (μB per formula unit): 0.0
Formation energy from the elements (eV/atom): 0.0255

abc: 2.8949 2.8949 27.3779
angles: 90.00 90.00 120.00
Closest atoms and distances in Å follow each position.
Space group R-3m (No. 166, hexagonal axes)
Asymmetric unit:
In 0.0000 0.0000 0.0000 x3  6 In 2.89, 6 Pt 2.90
Re 0.0000 0.0000 0.5000 x3  6 Pt 2.75, 6 Re 2.89
Pt 0.0000 0.0000 0.2466 x6  3 Re 2.75, 6 Pt 2.89, 3 In 2.90